# 1
Density functional theory data (PBE) for crystalline InCuS2 at its relaxed geometry.

The structure in POSCAR format:
```
InCuS2
1.0
7.042 0.000 0.000
0.000 6.865 0.000
-1.538 0.000 6.970
S Cu In
8 4 4
Direct
0.381 0.790 0.117
0.104 0.329 0.235
0.896 0.829 0.265
0.619 0.290 0.383
0.381 0.710 0.617
0.104 0.171 0.735
0.896 0.671 0.765
0.619 0.210 0.883
0.092 0.638 0.113
0.908 0.138 0.387
0.092 0.862 0.613
0.908 0.362 0.887
0.355 0.161 0.088
0.645 0.661 0.412
0.355 0.339 0.588
0.645 0.839 0.912
```

Summary:
E = -16.23 eV per formula unit

***

# 2
Density functional theory data (PBE) for crystalline InCuS2 at its relaxed geometry.

The structure in POSCAR format:
```
InCuS2
1.0
13.022 0.000 0.000
0.000 3.881 0.000
0.000 0.000 6.345
Cu In S
4 4 8
Direct
0.444 0.750 0.073
0.944 0.750 0.427
0.056 0.250 0.573
0.556 0.250 0.927
0.141 0.750 0.020
0.641 0.750 0.480
0.359 0.250 0.520
0.859 0.250 0.980
0.034 0.250 0.226
0.800 0.750 0.231
0.300 0.750 0.269
0.534 0.250 0.274
0.466 0.750 0.726
0.700 0.250 0.731
0.200 0.250 0.769
0.966 0.750 0.774
```

Summary:
E = -16.35 eV per formula unit

***

# 3
Density functional theory data (PBE) for crystalline InCuS2 at its relaxed geometry.

The structure in POSCAR format:
```
InCuS2
1.0
-2.787 2.787 5.574
2.787 -2.787 5.574
2.787 2.787 -5.574
Cu In S
2 2 4
Direct
0.000 0.000 0.000
0.250 0.750 0.500
0.500 0.500 0.000
0.750 0.250 0.500
0.125 0.654 0.029
0.346 0.375 0.470
0.905 0.875 0.530
0.625 0.095 0.971
```

Summary:
E = -16.66 eV per formula unit

***

# 4
Density functional theory data (PBE) for crystalline InCuS at its relaxed geometry.

The structure in POSCAR format:
```
InCuS
1.0
3.994 0.000 0.000
0.000 3.994 0.000
0.000 0.000 7.471
Cu In S
2 2 2
Direct
0.000 0.000 0.500
0.500 0.500 0.500
0.000 0.500 0.158
0.500 0.000 0.842
0.500 0.000 0.321
0.000 0.500 0.679
```

Summary:
E = -11.09 eV per formula unit

***

# 5
Density functional theory data (PBE) for crystalline InCuSeS at its relaxed geometry.

The structure in POSCAR format:
```
InCuSeS
1.0
-0.514 -0.204 5.684
4.278 -3.775 0.251
1.894 6.290 -2.464
Cu In S Se
2 2 2 2
Direct
0.542 0.970 0.423
0.319 0.193 0.923
0.082 0.470 0.423
0.819 0.733 0.923
0.222 0.093 0.173
0.443 0.873 0.673
0.660 0.593 0.173
0.942 0.311 0.673
```

Summary:
E above lowest polymorph = 0 meV per atom

***

# 6
Density functional theory data (PBE) for crystalline InCu2SeS2 at its relaxed geometry.

The structure in POSCAR format:
```
InCu2SeS2
1.0
5.723 3.426 -1.164
-5.855 3.355 0.554
0.967 -1.647 6.448
Cu In S Se
4 2 4 2
Direct
0.384 0.544 0.484
0.738 0.260 0.485
0.544 0.384 0.984
0.260 0.738 0.985
0.906 0.100 0.010
0.100 0.906 0.510
0.584 0.119 0.126
0.306 0.473 0.127
0.119 0.584 0.626
0.473 0.306 0.627
0.941 0.751 0.097
0.751 0.941 0.597
```

Summary:
E above lowest polymorph = 3 meV per atom

***

# 7
Density functional theory data (PBE) for crystalline InCu2Se2S at its relaxed geometry.

The structure in POSCAR format:
```
InCu2Se2S
1.0
3.469 -5.964 0.000
3.469 5.964 0.000
-2.309 0.000 6.478
Cu In S Se
4 2 2 4
Direct
0.398 0.544 0.477
0.727 0.250 0.497
0.544 0.398 0.977
0.250 0.727 0.997
0.915 0.098 0.005
0.098 0.915 0.505
0.307 0.470 0.128
0.470 0.307 0.628
0.940 0.752 0.098
0.585 0.121 0.125
0.752 0.940 0.598
0.121 0.585 0.625
```

Summary:
E = -23.47 eV per formula unit

***

# 8
Density functional theory data (PBE) for crystalline InCu2SeS2 at its relaxed geometry.

The structure in POSCAR format:
```
InCu2SeS2
1.0
2.916 6.005 1.204
-4.486 -2.513 4.424
5.249 -4.101 1.218
Cu In S Se
4 2 4 2
Direct
0.235 0.726 0.001
0.412 0.560 0.482
0.726 0.235 0.501
0.560 0.412 0.982
0.084 0.912 0.496
0.912 0.084 0.996
0.939 0.755 0.100
0.305 0.469 0.126
0.755 0.939 0.600
0.469 0.305 0.626
0.588 0.120 0.124
0.120 0.588 0.624
```

Summary:
E above lowest polymorph = 0 meV per atom

***

# 9
Density functional theory data (PBE) for crystalline InCu2Se2S at its relaxed geometry.

The structure in POSCAR format:
```
InCu2Se2S
1.0
3.462 -5.982 0.000
3.462 5.982 0.000
-2.312 0.000 6.496
Cu In S Se
4 2 2 4
Direct
0.413 0.577 0.493
0.738 0.230 0.494
0.577 0.413 0.993
0.230 0.738 0.994
0.072 0.900 0.491
0.900 0.072 0.991
0.940 0.756 0.100
0.756 0.940 0.600
0.303 0.471 0.125
0.588 0.117 0.125
0.471 0.303 0.625
0.117 0.588 0.625
```

Summary:
E = -23.46 eV per formula unit

***

# 10
Density functional theory data (PBE) for crystalline InCuSnSe2S at its relaxed geometry.

The structure in POSCAR format:
```
InCuSnSe2S
1.0
-5.279 -0.472 -4.255
3.596 -3.078 4.877
-6.360 4.315 7.413
Cu In S Se Sn
2 2 2 4 2
Direct
0.459 0.541 0.250
0.541 0.459 0.750
0.734 0.266 0.250
0.266 0.734 0.750
0.057 0.943 0.250
0.943 0.057 0.750
0.358 0.642 0.055
0.358 0.642 0.445
0.642 0.358 0.555
0.642 0.358 0.945
0.000 0.000 0.000
0.000 0.000 0.500
```

Summary:
E = -23.13 eV per formula unit

***

# 11
Density functional theory data (PBE) for crystalline TaInCuSeS2 at its relaxed geometry.

The structure in POSCAR format:
```
TaInCuSeS2
1.0
1.741 -7.445 0.000
1.741 7.445 0.000
0.000 0.000 9.746
Cu In S Se Ta
2 2 4 2 2
Direct
0.044 0.956 0.250
0.956 0.044 0.750
0.746 0.254 0.250
0.254 0.746 0.750
0.117 0.883 0.048
0.117 0.883 0.452
0.883 0.117 0.548
0.883 0.117 0.952
0.427 0.573 0.250
0.573 0.427 0.750
0.500 0.500 0.000
0.500 0.500 0.500
```

Summary:
E = -33.21 eV per formula unit
total magnetization = 0.07 μB/cell

***

# 12
Density functional theory data (PBE) for crystalline InCuWSe2S at its relaxed geometry.

The structure in POSCAR format:
```
InCuWSe2S
1.0
1.758 -7.286 0.000
1.758 7.286 0.000
0.000 0.000 9.351
Cu In S Se W
2 2 2 4 2
Direct
0.535 0.465 0.250
0.465 0.535 0.750
0.265 0.735 0.250
0.735 0.265 0.750
0.936 0.064 0.250
0.064 0.936 0.750
0.631 0.369 0.042
0.631 0.369 0.458
0.369 0.631 0.542
0.369 0.631 0.958
0.000 0.000 0.000
0.000 0.000 0.500
```

Summary:
E = -31.56 eV per formula unit
total magnetization = 0.01 μB/cell

***

Please write out number 11 again, unchanged.
Density functional theory data (PBE) for crystalline TaInCuSeS2 at its relaxed geometry.

The structure in POSCAR format:
```
TaInCuSeS2
1.0
1.741 -7.445 0.000
1.741 7.445 0.000
0.000 0.000 9.746
Cu In S Se Ta
2 2 4 2 2
Direct
0.044 0.956 0.250
0.956 0.044 0.750
0.746 0.254 0.250
0.254 0.746 0.750
0.117 0.883 0.048
0.117 0.883 0.452
0.883 0.117 0.548
0.883 0.117 0.952
0.427 0.573 0.250
0.573 0.427 0.750
0.500 0.500 0.000
0.500 0.500 0.500
```

Summary:
E = -33.21 eV per formula unit
total magnetization = 0.07 μB/cell